The following is a DFT calculation (GGA+U) of MnGaFeO4 after structural relaxation.

Calculated values
Final energy in eV/atom: -6.626
M_tot in μB per formula unit: 6.0

a b c (Å): 6.011 6.011 6.011
angles (deg): 120.03 120.46 89.58
Site moments in Bohr magnetons follow the coordinates.
Atoms (fractional coordinates):
O  0.260  0.733  0.527  -0.01
O  0.736  0.706  0.470  -0.04
O  0.294  0.267  0.027  -0.01
O  0.264  0.734  0.970  -0.04
O  0.740  0.267  0.473  -0.01
O  0.706  0.733  0.973  -0.01
O  0.264  0.294  0.530  -0.04
O  0.736  0.266  0.030  -0.04
Mn  0.876  0.126  0.750  4.57
Mn  0.124  0.874  0.250  4.57
Ga  0.500  0.500  0.500  0.03
Ga  0.500  0.000  0.000  0.03
Fe  0.500  0.500  0.000  1.26
Fe  0.000  0.500  0.500  1.26